Entry w
Entry from the Alexandria database: a relaxed Ba2InMo crystal (GGA-PBE).

Lattice parameters (Å, degrees): 5.6910 5.6910 5.6910 60.00 60.00 60.00
Each line ends with the local moment (μB).
Atoms (fractional coordinates):
Ba (0.0000, 0.0000, 0.0000)  0.19
Ba (0.2500, 0.2500, 0.2500)  0.04
In (0.5000, 0.5000, 0.5000)  -0.06
Mo (0.7500, 0.7500, 0.7500)  3.18

***

Entry x
Entry from the Alexandria database: a relaxed Ba2InMo crystal (GGA-PBE).

Lattice parameters (Å, degrees): 11.0841 11.0841 11.0841 19.92 19.92 19.92
Each line ends with the local moment (μB).
Atoms (fractional coordinates):
Ba (0.0076, 0.0076, 0.0076)  -0.01
Ba (0.4924, 0.4924, 0.4924)  -0.01
In (0.2500, 0.2500, 0.2500)  0.01
Mo (0.7500, 0.7500, 0.7500)  2.12

***

Entry y
Entry from the Alexandria database: a relaxed Ba2InMo crystal (GGA-PBE).

Lattice parameters (Å, degrees): 3.8567 3.8567 9.5527 90.00 90.00 90.00
Each line ends with the local moment (μB).
Atoms (fractional coordinates):
Ba (0.0000, 0.0000, 0.9223)  -0.01
Ba (0.5000, 0.5000, 0.3341)  0.01
In (0.0000, 0.0000, 0.5806)  -0.01
Mo (0.5000, 0.5000, 0.6630)  0.21

***

Stability check: which of them is most stable? entry y.

***

Entry w
Entry from the Alexandria database: a relaxed Ba2InMo crystal (GGA-PBE).

Lattice parameters (Å, degrees): 6.7780 6.7780 5.7082 65.15 65.15 36.20
Each line ends with the local moment (μB).
Atoms (fractional coordinates):
Ba (0.9743, 0.9743, 0.0260)  0.00
Ba (0.7726, 0.7726, 0.7272)  -0.02
In (0.5488, 0.5488, 0.4517)  -0.08
Mo (0.2043, 0.2043, 0.2951)  1.91

***

Entry x
Entry from the Alexandria database: a relaxed Ba2InMo crystal (GGA-PBE).

Lattice parameters (Å, degrees): 4.8511 5.0835 6.8400 68.21 90.00 90.00
Each line ends with the local moment (μB).
Atoms (fractional coordinates):
Ba (0.0000, 0.9796, 0.9162)  0.00
Ba (0.5000, 0.2668, 0.3415)  -0.01
In (0.0000, 0.6810, 0.5131)  -0.09
Mo (0.5000, 0.5726, 0.7293)  2.42

***

Stability check: which of them is most stable? entry x.

***

Entry w
Entry from the Alexandria database: a relaxed Ba2InMo crystal (GGA-PBE).

Lattice parameters (Å, degrees): 9.2755 5.7914 4.3380 90.04 62.06 128.71
Each line ends with the local moment (μB).
Atoms (fractional coordinates):
Ba (0.0000, 0.0000, 0.0000)  0.01
Ba (0.5000, 0.0000, 0.5000)  0.01
In (0.0000, 0.5000, 0.5000)  -0.05
Mo (0.5000, 0.5000, 0.0000)  3.17

***

Entry x
Entry from the Alexandria database: a relaxed Ba2InMo crystal (GGA-PBE).

Lattice parameters (Å, degrees): 3.3960 3.3960 10.7452 90.00 90.00 90.08
Atoms (fractional coordinates):
Ba (0.0000, 0.0000, 0.9824)
Ba (0.0000, 0.0000, 0.5176)
In (0.5000, 0.5000, 0.2500)
Mo (0.5000, 0.5000, 0.7500)

***

Entry y
Entry from the Alexandria database: a relaxed Ba2InMo crystal (GGA-PBE).

Lattice parameters (Å, degrees): 5.8846 5.8846 5.8846 60.00 60.00 60.00
Each line ends with the local moment (μB).
Atoms (fractional coordinates):
Mo (0.0000, 0.0000, 0.0000)  3.04
Ba (0.2500, 0.2500, 0.2500)  -0.02
Ba (0.7500, 0.7500, 0.7500)  -0.02
In (0.5000, 0.5000, 0.5000)  -0.13

***

Stability check: which of them is most stable? entry y.

***

Entry w
Entry from the Alexandria database: a relaxed Ba4InN crystal (GGA-PBE).

Lattice parameters (Å, degrees): 5.6613 7.9555 11.2482 90.00 104.58 90.00
Atoms (fractional coordinates):
Ba (0.1749, 0.5003, 0.3497)
Ba (0.8251, 0.4997, 0.6503)
Ba (0.1749, 0.9997, 0.3497)
Ba (0.8251, 0.0003, 0.6503)
Ba (0.5822, 0.7500, 0.1645)
Ba (0.4178, 0.2500, 0.8355)
Ba (0.0000, 0.5000, 0.0000)
Ba (0.0000, 0.0000, 0.0000)
In (0.4036, 0.7500, 0.8072)
In (0.5964, 0.2500, 0.1928)
N (0.0995, 0.7500, 0.1989)
N (0.9005, 0.2500, 0.8010)

***

Entry x
Entry from the Alexandria database: a relaxed Ba4InN crystal (GGA-PBE).

Lattice parameters (Å, degrees): 5.8258 8.8996 12.1721 93.85 90.00 109.11
Atoms (fractional coordinates):
Ba (0.0585, 0.1169, 0.3560)
Ba (0.1414, 0.2829, 0.9149)
Ba (0.7642, 0.5284, 0.3577)
Ba (0.5862, 0.1724, 0.6797)
Ba (0.4138, 0.8276, 0.3203)
Ba (0.2358, 0.4716, 0.6423)
Ba (0.8586, 0.7171, 0.0851)
Ba (0.9415, 0.8831, 0.6440)
In (0.2268, 0.4537, 0.1926)
In (0.7732, 0.5463, 0.8074)
N (0.0890, 0.1780, 0.7093)
N (0.9110, 0.8220, 0.2907)

***

Stability check: which of them is most stable? entry w.

***

Entry w
Entry from the Alexandria database: a relaxed Ba6In2N crystal (GGA-PBE).

Lattice parameters (Å, degrees): 4.5040 7.8129 13.8080 71.93 80.61 73.25
Atoms (fractional coordinates):
Ba (0.8319, 0.2330, 0.1032)
Ba (0.1681, 0.7670, 0.8968)
Ba (0.3382, 0.7501, 0.5736)
Ba (0.0410, 0.7428, 0.1752)
Ba (0.9590, 0.2572, 0.8248)
Ba (0.6618, 0.2499, 0.4264)
In (0.3498, 0.9908, 0.3097)
In (0.6502, 0.0092, 0.6903)
N (0.0000, 0.0000, 0.0000)

***

Entry x
Entry from the Alexandria database: a relaxed Ba6In2N crystal (GGA-PBE).

Lattice parameters (Å, degrees): 8.0586 8.0586 8.0600 60.00 60.00 60.01
Atoms (fractional coordinates):
Ba (0.2616, 0.2616, 0.7377)
Ba (0.2620, 0.7386, 0.2613)
Ba (0.7380, 0.2614, 0.7387)
Ba (0.7386, 0.2620, 0.2613)
Ba (0.2614, 0.7380, 0.7387)
Ba (0.7384, 0.7384, 0.2623)
In (0.2500, 0.2500, 0.2497)
In (0.7500, 0.7500, 0.7503)
N (0.5000, 0.5000, 0.5000)

***

Stability check: which of them is most stable? entry x.

***

Entry w
Entry from the Alexandria database: a relaxed BaIn3N crystal (GGA-PBE).

Lattice parameters (Å, degrees): 5.1258 5.1258 5.1258 90.00 90.00 90.00
Each line ends with the local moment (μB).
Atoms (fractional coordinates):
N (0.0000, 0.0000, 0.0000)  0.39
Ba (0.5000, 0.5000, 0.5000)  0.02
In (0.0000, 0.5000, 0.0000)  0.02
In (0.0000, 0.0000, 0.5000)  0.00
In (0.5000, 0.0000, 0.0000)  0.01

***

Entry x
Entry from the Alexandria database: a relaxed BaIn3N crystal (GGA-PBE).

Lattice parameters (Å, degrees): 6.4672 6.4672 6.4672 90.00 90.00 90.00
Atoms (fractional coordinates):
N (0.5000, 0.5000, 0.5000)
Ba (0.0000, 0.0000, 0.0000)
In (0.0000, 0.5000, 0.0000)
In (0.0000, 0.0000, 0.5000)
In (0.5000, 0.0000, 0.0000)

***

Stability check: which of them is most stable? entry w.

***

Entry w
Entry from the Alexandria database: a relaxed BaInTe2N crystal (GGA-PBE).

Lattice parameters (Å, degrees): 6.0880 6.0880 4.3215 90.00 90.00 90.00
Each line ends with the local moment (μB).
Atoms (fractional coordinates):
N (0.0000, 0.0000, 0.5000)  0.96
Te (0.0000, 0.5000, 0.0000)  0.17
Te (0.5000, 0.0000, 0.0000)  0.17
Ba (0.5000, 0.5000, 0.5000)  0.00
In (0.0000, 0.0000, 0.0000)  -0.04

***

Entry x
Entry from the Alexandria database: a relaxed BaInTe2N crystal (GGA-PBE).

Lattice parameters (Å, degrees): 6.6738 6.6738 5.2611 90.00 90.00 90.00
Each line ends with the local moment (μB).
Atoms (fractional coordinates):
N (0.0000, 0.0000, 0.5000)  1.43
Te (0.0000, 0.5000, 0.0000)  0.44
Te (0.5000, 0.0000, 0.0000)  0.44
Ba (0.0000, 0.0000, 0.0000)  0.04
In (0.5000, 0.5000, 0.5000)  0.01

***

Stability check: which of them is most stable? entry w.

***

Entry w
Entry from the Alexandria database: a relaxed BaInTeN2 crystal (GGA-PBE).

Lattice parameters (Å, degrees): 4.7681 4.7681 7.2149 90.00 90.00 90.00
Each line ends with the local moment (μB).
Atoms (fractional coordinates):
N (0.0000, 0.5000, 0.0000)  0.79
N (0.5000, 0.0000, 0.0000)  0.79
Te (0.0000, 0.0000, 0.5000)  0.04
Ba (0.0000, 0.0000, 0.0000)  -0.04
In (0.5000, 0.5000, 0.5000)  -0.01

***

Entry x
Entry from the Alexandria database: a relaxed BaInTeN2 crystal (GGA-PBE).

Lattice parameters (Å, degrees): 4.6839 4.6839 5.8451 90.00 90.00 90.00
Each line ends with the local moment (μB).
Atoms (fractional coordinates):
N (0.0000, 0.5000, 0.0000)  0.97
N (0.5000, 0.0000, 0.0000)  0.97
Te (0.0000, 0.0000, 0.5000)  0.13
Ba (0.5000, 0.5000, 0.5000)  -0.01
In (0.0000, 0.0000, 0.0000)  -0.07

***

Stability check: which of them is most stable? entry x.

***

Entry w
Entry from the Alexandria database: a relaxed Ba8NaIn2 crystal (GGA-PBE).

Lattice parameters (Å, degrees): 5.9822 8.9233 11.4696 108.15 105.12 90.00
Atoms (fractional coordinates):
Ba (0.3982, 0.5265, 0.7964)
Ba (0.6751, 0.9625, 0.3503)
Ba (0.8011, 0.6900, 0.6022)
Ba (0.9636, 0.2300, 0.9273)
Ba (0.1989, 0.3100, 0.3978)
Ba (0.3249, 0.0375, 0.6497)
Ba (0.6018, 0.4735, 0.2036)
Ba (0.0364, 0.7700, 0.0727)
Na (0.5000, 0.0000, 0.0000)
In (0.8137, 0.2994, 0.6273)
In (0.1863, 0.7006, 0.3727)

***

Entry x
Entry from the Alexandria database: a relaxed Ba8NaIn2 crystal (GGA-PBE).

Lattice parameters (Å, degrees): 6.2525 8.8257 11.3521 112.86 106.00 90.01
Atoms (fractional coordinates):
Ba (0.6368, 0.2603, 0.9090)
Ba (0.9723, 0.0282, 0.5813)
Ba (0.3000, 0.3561, 0.2369)
Ba (0.7493, 0.9450, 0.1347)
Ba (0.3462, 0.8529, 0.3293)
Ba (0.9260, 0.4326, 0.4888)
Ba (0.1375, 0.5543, 0.9092)
Ba (0.5239, 0.7192, 0.6836)
Na (0.1365, 0.9736, 0.9092)
In (0.7974, 0.6007, 0.2325)
In (0.4742, 0.2771, 0.5855)

***

Stability check: which of them is most stable? entry w.

***

Entry w
Entry from the Alexandria database: a relaxed Ba6NaIn2 crystal (GGA-PBE).

Lattice parameters (Å, degrees): 9.5268 10.7183 10.6635 90.00 55.94 90.00
Atoms (fractional coordinates):
Ba (0.7294, 0.9991, 0.3046)
Ba (0.7359, 0.6927, 0.5649)
Ba (0.7646, 0.8059, 0.9353)
Ba (0.7354, 0.3059, 0.5647)
Ba (0.7641, 0.1927, 0.9351)
Ba (0.7706, 0.4991, 0.1954)
Ba (0.2706, 0.0009, 0.6954)
Ba (0.2641, 0.3073, 0.4351)
Ba (0.2354, 0.1941, 0.0647)
Ba (0.2646, 0.6941, 0.4353)
Ba (0.2359, 0.8073, 0.0649)
Ba (0.2294, 0.5009, 0.8046)
Na (0.5000, 0.5000, 0.0000)
Na (0.0000, 0.0000, 0.5000)
In (0.9014, 0.4990, 0.7517)
In (0.5986, 0.9990, 0.7483)
In (0.4014, 0.0010, 0.2517)
In (0.0986, 0.5010, 0.2483)

***

Entry x
Entry from the Alexandria database: a relaxed Ba6NaIn2 crystal (GGA-PBE).

Lattice parameters (Å, degrees): 10.7007 10.7007 10.7007 102.06 110.16 116.51
Atoms (fractional coordinates):
Ba (0.5227, 0.7090, 0.8137)
Ba (0.4773, 0.2910, 0.1863)
Ba (0.1046, 0.2910, 0.8137)
Ba (0.8954, 0.7090, 0.1863)
Ba (0.7814, 0.7688, 0.5503)
Ba (0.2186, 0.2312, 0.4497)
Ba (0.2186, 0.7688, 0.9874)
Ba (0.7814, 0.2312, 0.0126)
Ba (0.6960, 0.3699, 0.6740)
Ba (0.3040, 0.6301, 0.3260)
Ba (0.3040, 0.9780, 0.6740)
Ba (0.6960, 0.0220, 0.3260)
Na (0.0000, 0.5000, 0.5000)
Na (0.0000, 0.0000, 0.0000)
In (0.5000, 0.3814, 0.8814)
In (0.5000, 0.6186, 0.1186)
In (0.6409, 0.0000, 0.6409)
In (0.3591, 0.0000, 0.3591)

***

Stability check: which of them is most stable? entry x.

***

Entry w
Entry from the Alexandria database: a relaxed BaNaIn crystal (GGA-PBE).

Lattice parameters (Å, degrees): 3.8960 5.6966 5.6966 120.00 90.00 90.00
Atoms (fractional coordinates):
Na (0.1667, 0.0000, 0.0000)
Ba (0.6666, 0.6667, 0.3333)
In (0.1667, 0.3333, 0.6667)

***

Entry x
Entry from the Alexandria database: a relaxed BaNaIn crystal (GGA-PBE).

Lattice parameters (Å, degrees): 5.3099 5.3118 9.8807 90.00 89.95 59.98
Atoms (fractional coordinates):
Ba (0.0003, 0.5000, 0.7840)
Ba (0.9997, 0.5000, 0.2160)
Na (0.6664, 0.1667, 0.4412)
Na (0.3336, 0.8333, 0.5588)
In (0.6667, 0.1667, 0.0395)
In (0.3333, 0.8333, 0.9605)

***

Stability check: which of them is most stable? entry x.